(1)
# ZrZn2Ga2

A relaxed structure of ZrZn2Ga2 (PBE-GGA, Alexandria via LeMat-Bulk).

Mass density   7.07 g/cm³
Final energy   -18.3 eV per cell
Relative energy among the computed polymorphs   0 meV per atom

Lattice parameters (Å, degrees): 3.9016 3.9016 6.2231 71.73 71.73 90.00
Last column: nearest neighbours and their distance in Å.
Atoms (fractional coordinates):
Zn 0.7500 0.2500 0.5000  4 Ga 2.53, 4 Zn 2.76
Zn 0.2500 0.7500 0.5000  4 Ga 2.53, 4 Zn 2.76
Ga 0.3939 0.3939 0.2122  1 Ga 2.37, 4 Zn 2.53
Ga 0.6061 0.6061 0.7878  1 Ga 2.37, 4 Zn 2.53
Zr 0.0000 0.0000 0.0000  8 Ga 3.00

(2)
# CeScAgPb

A relaxed structure of CeScAgPb (PBE-GGA, Alexandria via LeMat-Bulk).

Mass density   8.14 g/cm³
Final energy   -19.9 eV per cell

Lattice parameters (Å, degrees): 5.2453 5.2453 5.2453 60.00 60.00 60.00
Last column: nearest neighbours and their distance in Å.
Atoms (fractional coordinates):
Pb 0.7500 0.7500 0.7500  4 Sc 3.21, 4 Ce 3.21
Ag 0.2500 0.2500 0.2500  4 Sc 3.21, 4 Ce 3.21
Sc 0.0000 0.0000 0.0000  4 Pb 3.21, 4 Ag 3.21
Ce 0.5000 0.5000 0.5000  4 Ag 3.21, 4 Pb 3.21

(3)
# Rb3ScAg2Cl9

A relaxed structure of Rb3ScAg2Cl9 (PBE-GGA, Alexandria via LeMat-Bulk).

Mass density   3.25 g/cm³
Final energy   -54.1 eV per cell
Uncorrected formation energy   -1.5049 eV/atom

Lattice parameters (Å, degrees): 7.3573 7.3573 9.1026 90.00 90.00 120.00
Last column: nearest neighbours and their distance in Å.
Atoms (fractional coordinates):
Cl 0.3214 0.1607 0.6576  1 Sc 2.50, 1 Ag 2.75
Cl 0.5000 0.0000 0.0000  2 Ag 2.58
Cl 0.6786 0.8393 0.3424  1 Sc 2.50, 1 Ag 2.75
Cl 0.1607 0.3214 0.3424  1 Sc 2.50, 1 Ag 2.75
Cl 0.0000 0.5000 0.0000  2 Ag 2.58
Cl 0.8393 0.1607 0.6576  1 Sc 2.50, 1 Ag 2.75
Cl 0.5000 0.5000 0.0000  2 Ag 2.58
Cl 0.8393 0.6786 0.6576  1 Sc 2.50, 1 Ag 2.75
Cl 0.1607 0.8393 0.3424  1 Sc 2.50, 1 Ag 2.75
Sc 0.0000 0.0000 0.5000  6 Cl 2.50
Rb 0.6667 0.3333 0.3180  12 Cl 3.59-3.79
Rb 0.0000 0.0000 0.0000  12 Cl 3.68-3.73
Rb 0.3333 0.6667 0.6820  12 Cl 3.59-3.79
Ag 0.6667 0.3333 0.8388  6 Cl 2.58-2.75
Ag 0.3333 0.6667 0.1612  6 Cl 2.58-2.75

(4)
# AlInTe2

A relaxed structure of AlInTe2 (PBE-GGA, Alexandria via LeMat-Bulk).

Mass density   6.09 g/cm³
Final energy   -12.1 eV per cell
Uncorrected formation energy   0.1550 eV/atom

Lattice parameters (Å, degrees): 3.6265 5.1737 5.7717 90.00 90.00 90.00
Last column: nearest neighbours and their distance in Å.
Atoms (fractional coordinates):
Al 0.5000 0.0000 0.5000  4 In 3.16, 4 Te 3.41
Te 0.5000 0.5000 0.0000  4 Te 3.16, 4 In 3.41
Te 0.0000 0.0000 0.0000  4 Te 3.16, 4 Al 3.41
In 0.0000 0.5000 0.5000  4 Al 3.16, 4 Te 3.41

(5)
# Th4AsP2Pt

A relaxed structure of Th4AsP2Pt (PBE-GGA, Alexandria via LeMat-Bulk).

Mass density   10.05 g/cm³
Final energy   -62.1 eV per cell

Lattice parameters (Å, degrees): 4.1146 7.3239 7.3161 70.74 90.00 90.00
Last column: nearest neighbours and their distance in Å.
Atoms (fractional coordinates):
Th 0.0000 0.7514 0.7543  2 Pt 2.94, 3 P 2.95-2.96, 1 As 3.02
Th 0.5000 0.7604 0.2468  3 P 2.91-2.94, 2 As 3.00, 1 Pt 3.03
Th 0.0000 0.2486 0.2457  2 Pt 2.94, 3 P 2.95-2.96, 1 As 3.02
Th 0.5000 0.2396 0.7532  3 P 2.91-2.94, 2 As 3.00, 1 Pt 3.03
P 0.5000 0.0000 0.5000  6 Th 2.94-2.96
P 0.0000 0.0000 0.0000  6 Th 2.91-2.95
Pt 0.5000 0.5000 0.0000  6 Th 2.94-3.03
As 0.0000 0.5000 0.5000  6 Th 3.00-3.02

(6)
# KAc2SnO5

A relaxed structure of KAc2SnO5 (PBE-GGA, Alexandria via LeMat-Bulk).

Mass density   6.85 g/cm³
Final energy   -117.7 eV per cell
Uncorrected formation energy   -2.3036 eV/atom

Lattice parameters (Å, degrees): 6.3592 7.2627 7.2627 90.00 90.00 90.00
Last column: nearest neighbours and their distance in Å.
Atoms (fractional coordinates):
O 0.7486 0.8633 0.3633  1 Sn 2.13
O 0.7486 0.1367 0.6367  1 Sn 2.13
O 0.5000 0.0000 0.0000  4 Ac 2.66
O 0.2514 0.8633 0.3633  1 Sn 2.13
O 0.2514 0.3633 0.1367  1 Sn 2.13
O 0.7486 0.6367 0.8633  1 Sn 2.13
O 0.5000 0.5000 0.5000  4 Ac 2.66
O 0.7486 0.3633 0.1367  1 Sn 2.13
O 0.2514 0.6367 0.8633  1 Sn 2.13
O 0.2514 0.1367 0.6367  1 Sn 2.13
Ac 0.5000 0.8188 0.6812  4 O 2.45-2.66
Ac 0.5000 0.6812 0.1812  4 O 2.45-2.66
Ac 0.5000 0.3188 0.8188  4 O 2.45-2.66
Ac 0.5000 0.1812 0.3188  4 O 2.45-2.66
K 0.0000 0.0000 0.0000  10 O 3.18-3.24
K 0.0000 0.5000 0.5000  10 O 3.18-3.24
Sn 0.0000 0.5000 0.0000  4 O 2.13
Sn 0.0000 0.0000 0.5000  4 O 2.13

(7)
# K3Dy3NbS8

A relaxed structure of K3Dy3NbS8 (PBE-GGA, Alexandria via LeMat-Bulk).

Mass density   3.94 g/cm³
Final energy   -85.1 eV per cell
Uncorrected formation energy   -1.6613 eV/atom

Lattice parameters (Å, degrees): 7.8606 7.8611 8.7816 116.60 90.00 120.00
Last column: nearest neighbours and their distance in Å.
Atoms (fractional coordinates):
S 0.2192 0.9719 0.6911  1 Nb 2.56, 2 Dy 2.75
S 0.7808 0.0281 0.3089  1 Nb 2.56, 2 Dy 2.75
S 0.2193 0.4387 0.6912  1 Nb 2.56, 2 Dy 2.75
S 0.7343 0.4685 0.7028  3 Dy 2.73
S 0.2473 0.0281 0.3089  1 Nb 2.56, 2 Dy 2.75
S 0.7527 0.9719 0.6911  1 Nb 2.56, 2 Dy 2.75
S 0.2657 0.5315 0.2972  3 Dy 2.73
S 0.7807 0.5613 0.3088  1 Nb 2.56, 2 Dy 2.75
K 0.0000 0.5000 0.0000  6 S 3.18-3.20
K 0.0000 0.0000 0.0000  6 S 3.18-3.20
K 0.5000 0.5000 0.0000  6 S 3.19-3.20
Dy 0.5000 0.5000 0.5000  6 S 2.73-2.75
Dy 0.5000 0.0000 0.5000  6 S 2.73-2.75
Dy 0.0000 0.5000 0.5000  6 S 2.73-2.75
Nb 0.0000 0.0000 0.5000  6 S 2.56

(8)
# ErHfMg

A relaxed structure of ErHfMg (PBE-GGA, Alexandria via LeMat-Bulk).

Mass density   8.11 g/cm³
Final energy   -31.8 eV per cell
Relative energy among the computed polymorphs   34 meV per atom

Lattice parameters (Å, degrees): 3.2916 3.2941 16.9197 73.05 101.26 120.13
Last column: nearest neighbours and their distance in Å.
Atoms (fractional coordinates):
Hf 0.6931 0.7307 0.0777  9 Hf 3.15-3.29, 3 Er 3.25
Hf 0.3069 0.2693 0.9223  9 Hf 3.15-3.29, 3 Er 3.25
Er 0.9184 0.8190 0.7589  3 Hf 3.25, 6 Er 3.29, 3 Mg 3.44-3.45
Er 0.0816 0.1810 0.2411  3 Hf 3.25, 6 Er 3.29, 3 Mg 3.44-3.45
Mg 0.8114 0.2781 0.4192  9 Mg 3.21-3.29, 3 Er 3.44-3.45
Mg 0.1886 0.7219 0.5808  9 Mg 3.21-3.29, 3 Er 3.44-3.45

(9)
# KLa2Re

A relaxed structure of KLa2Re (PBE-GGA, Alexandria via LeMat-Bulk).

Mass density   7.71 g/cm³
Final energy   -19.4 eV per cell
Relative energy among the computed polymorphs   746 meV per atom

Lattice parameters (Å, degrees): 6.7962 6.2760 3.1367 76.99 87.38 122.01
Last column: nearest neighbours and their distance in Å.
Atoms (fractional coordinates):
K 0.5000 0.5000 0.0000  2 K 3.14, 4 La 3.18
Re 0.0000 0.5000 0.5000  2 Re 3.14, 4 La 3.18
La 0.5000 0.0000 0.5000  2 La 3.14, 2 Re 3.18, 2 K 3.18
La 0.0000 0.0000 0.0000  2 La 3.14, 2 K 3.18, 2 Re 3.18

(10)
# CsReSbPb2

A relaxed structure of CsReSbPb2 (PBE-GGA, Alexandria via LeMat-Bulk).

Mass density   8.33 g/cm³
Final energy   -20.4 eV per cell
Uncorrected formation energy   0.8853 eV/atom

Lattice parameters (Å, degrees): 5.3997 5.8481 5.3997 90.00 90.00 90.00
Last column: nearest neighbours and their distance in Å.
Atoms (fractional coordinates):
Pb 0.5000 0.0000 0.0000  2 Re 2.70
Pb 0.0000 0.0000 0.5000  2 Re 2.70
Re 0.0000 0.0000 0.0000  4 Pb 2.70, 2 Cs 2.92
Sb 0.5000 0.5000 0.5000  4 Cs 3.82, 8 Pb 3.98
Cs 0.0000 0.5000 0.0000  2 Re 2.92

(11)
# SmHo2Cu6

A relaxed structure of SmHo2Cu6 (PBE-GGA, Alexandria via LeMat-Bulk).

Mass density   8.56 g/cm³
Final energy   -40.7 eV per cell

Lattice parameters (Å, degrees): 3.5908 7.3308 7.3308 120.00 90.00 90.00
Last column: nearest neighbours and their distance in Å.
Atoms (fractional coordinates):
Cu 0.5000 0.6649 0.6649  3 Cu 2.42-2.46
Cu 0.5000 0.3351 0.0000  3 Cu 2.42-2.46
Cu 0.5000 0.3351 0.3351  3 Cu 2.42-2.46
Cu 0.5000 0.0000 0.6649  3 Cu 2.42-2.46
Cu 0.5000 0.6649 0.0000  3 Cu 2.42-2.46
Cu 0.5000 0.0000 0.3351  3 Cu 2.42-2.46
Ho 0.0000 0.3333 0.6667  12 Cu 3.03
Ho 0.0000 0.6667 0.3333  12 Cu 3.03
Sm 0.0000 0.0000 0.0000  12 Cu 3.04

(12)
# Ba3HgTe2O8

A relaxed structure of Ba3HgTe2O8 (PBE-GGA, Alexandria via LeMat-Bulk).

Mass density   5.33 g/cm³
Final energy   -73.7 eV per cell
Uncorrected formation energy   -1.5479 eV/atom

Lattice parameters (Å, degrees): 6.0071 6.0071 9.9310 90.00 90.00 120.00
Last column: nearest neighbours and their distance in Å.
Atoms (fractional coordinates):
O 0.8328 0.6656 0.7640  1 Te 1.91
O 0.1672 0.8328 0.2360  1 Te 1.91
O 0.8328 0.1672 0.7640  1 Te 1.91
O 0.3344 0.1672 0.7640  1 Te 1.91
O 0.1672 0.3344 0.2360  1 Te 1.91
O 0.6656 0.8328 0.2360  1 Te 1.91
O 0.3333 0.6667 0.9527  1 Te 2.01
O 0.6667 0.3333 0.0473  1 Te 2.01
Hg 0.0000 0.0000 0.5000  6 O 3.15
Te 0.6667 0.3333 0.8450  4 O 1.91-2.01
Te 0.3333 0.6667 0.1550  4 O 1.91-2.01
Ba 0.6667 0.3333 0.2925  1 O 2.43
Ba 0.0000 0.0000 0.0000  6 O 2.92
Ba 0.3333 0.6667 0.7075  1 O 2.43

(13)
# CaEuTlCd

A relaxed structure of CaEuTlCd (PBE-GGA, Alexandria via LeMat-Bulk).

Mass density   7.07 g/cm³
Final energy   -17.2 eV per cell

Lattice parameters (Å, degrees): 5.5278 5.5278 5.5278 60.00 60.00 60.00
Last column: nearest neighbours and their distance in Å.
Atoms (fractional coordinates):
Ca 0.0000 0.0000 0.0000  4 Cd 3.39, 4 Tl 3.39
Eu 0.5000 0.5000 0.5000  4 Tl 3.39, 4 Cd 3.39
Cd 0.7500 0.7500 0.7500  4 Eu 3.39, 4 Ca 3.39
Tl 0.2500 0.2500 0.2500  4 Ca 3.39, 4 Eu 3.39

(14)
# ThCuNiSn

A relaxed structure of ThCuNiSn (PBE-GGA, Alexandria via LeMat-Bulk).

Mass density   10.14 g/cm³
Final energy   -22.8 eV per cell

Lattice parameters (Å, degrees): 4.7842 4.7842 4.7842 60.00 60.00 60.00
Last column: nearest neighbours and their distance in Å.
Atoms (fractional coordinates):
Sn 0.2500 0.2500 0.2500  4 Ni 2.93, 4 Cu 2.93
Ni 0.5000 0.5000 0.5000  4 Th 2.93, 4 Sn 2.93
Cu 0.0000 0.0000 0.0000  4 Sn 2.93, 4 Th 2.93
Th 0.7500 0.7500 0.7500  4 Ni 2.93, 4 Cu 2.93

(15)
# ZnCdSi

A relaxed structure of ZnCdSi (PBE-GGA, Alexandria via LeMat-Bulk).

Mass density   6.31 g/cm³
Final energy   -6.7 eV per cell
Uncorrected formation energy   0.3117 eV/atom

Lattice parameters (Å, degrees): 6.5012 6.5012 6.5012 153.61 153.61 37.67
Last column: nearest neighbours and their distance in Å.
Atoms (fractional coordinates):
Cd 0.0031 0.0031 0.0000  4 Cd 2.97, 4 Zn 3.00, 4 Si 3.08
Zn 0.6769 0.6769 0.0000  4 Si 2.74, 4 Zn 2.97, 4 Cd 3.00
Si 0.3200 0.3200 0.0000  4 Zn 2.74, 4 Si 2.97

(16)
# Ga3TePb

A relaxed structure of Ga3TePb (PBE-GGA, Alexandria via LeMat-Bulk).

Mass density   5.44 g/cm³
Final energy   -13.8 eV per cell
Relative energy among the computed polymorphs   0 meV per atom
Uncorrected formation energy   0.4250 eV/atom

Lattice parameters (Å, degrees): 5.4953 5.4953 5.4953 90.00 90.00 90.00
Last column: nearest neighbours and their distance in Å.
Atoms (fractional coordinates):
Pb 0.0000 0.0000 0.0000  6 Ga 2.75
Ga 0.0000 0.0000 0.5000  2 Pb 2.75
Ga 0.0000 0.5000 0.0000  2 Pb 2.75
Ga 0.5000 0.0000 0.0000  2 Pb 2.75
Te 0.5000 0.5000 0.5000  12 Ga 3.89

(17)
# SrTbAs2

A relaxed structure of SrTbAs2 (PBE-GGA, Alexandria via LeMat-Bulk).

Mass density   5.65 g/cm³
Final energy   -19.9 eV per cell
Relative energy among the computed polymorphs   101 meV per atom

Lattice parameters (Å, degrees): 4.3764 4.3764 7.4686 72.96 72.96 60.00
Last column: nearest neighbours and their distance in Å.
Atoms (fractional coordinates):
Sr 0.6700 0.6700 0.9900  6 As 3.17-3.26
Tb 0.4973 0.4973 0.5081  6 As 2.93-2.98
As 0.2388 0.2388 0.2836  3 Tb 2.98, 1 As 3.06, 3 Sr 3.26
As 0.0939 0.0939 0.7183  3 Tb 2.93, 1 As 3.06, 3 Sr 3.17

(18)
# LaAl2Os

A relaxed structure of LaAl2Os (PBE-GGA, Alexandria via LeMat-Bulk).

Mass density   8.04 g/cm³
Final energy   -23.4 eV per cell

Lattice parameters (Å, degrees): 9.5427 9.5427 9.5427 18.83 18.83 18.83
Last column: nearest neighbours and their distance in Å.
Atoms (fractional coordinates):
Al 0.4818 0.4818 0.4818  3 Os 2.57
Al 0.0182 0.0182 0.0182  3 Os 2.57
Os 0.7500 0.7500 0.7500  6 Al 2.57
La 0.2500 0.2500 0.2500  6 La 3.12, 6 Al 3.38

(19)
# PuCd5

A relaxed structure of PuCd5 (PBE-GGA, Alexandria via LeMat-Bulk).

Mass density   9.41 g/cm³
Final energy   -18.9 eV per cell

Lattice parameters (Å, degrees): 3.0369 5.2349 9.0721 90.00 99.64 90.00
Last column: nearest neighbours and their distance in Å.
Atoms (fractional coordinates):
Pu 0.9960 0.0000 0.9920  2 Pu 3.04, 8 Cd 3.29-3.40
Cd 0.5681 0.5000 0.1361  6 Cd 3.04-3.20, 4 Pu 3.29
Cd 0.2257 0.5000 0.4514  12 Cd 3.04-3.23
Cd 0.3260 0.0000 0.6519  10 Cd 3.04-3.24, 2 Pu 3.40
Cd 0.6661 0.0000 0.3323  10 Cd 3.04-3.24
Cd 0.8848 0.5000 0.7696  8 Cd 3.04-3.23, 2 Pu 3.29

(20)
# CdTc3F

A relaxed structure of CdTc3F (PBE-GGA, Alexandria via LeMat-Bulk).

Mass density   9.15 g/cm³
Final energy   -29.5 eV per cell
Relative energy among the computed polymorphs   0 meV per atom
Uncorrected formation energy   0.8788 eV/atom

Lattice parameters (Å, degrees): 4.2585 4.2585 4.2585 90.00 90.00 90.00
Last column: nearest neighbours and their distance in Å.
Atoms (fractional coordinates):
Tc 0.5000 0.0000 0.0000  2 F 2.13
Tc 0.0000 0.5000 0.0000  2 F 2.13
Tc 0.0000 0.0000 0.5000  2 F 2.13
Cd 0.5000 0.5000 0.5000  12 Tc 3.01
F 0.0000 0.0000 0.0000  6 Tc 2.13

(21)
# LiInO3

A relaxed structure of LiInO3 (PBE-GGA, Alexandria via LeMat-Bulk).

Mass density   3.95 g/cm³
Final energy   -22.8 eV per cell
Uncorrected formation energy   -0.6489 eV/atom

Lattice parameters (Å, degrees): 4.1469 4.1469 4.1469 90.00 90.00 90.00
Last column: nearest neighbours and their distance in Å.
Atoms (fractional coordinates):
Li 0.5000 0.5000 0.5000  12 O 2.93
O 0.0000 0.0000 0.5000  2 In 2.07
O 0.0000 0.5000 0.0000  2 In 2.07
O 0.5000 0.0000 0.0000  2 In 2.07
In 0.0000 0.0000 0.0000  6 O 2.07

(22)
# KBeP2O

A relaxed structure of KBeP2O (PBE-GGA, Alexandria via LeMat-Bulk).

Mass density   1.62 g/cm³
Final energy   -10.7 eV per cell
Relative energy among the computed polymorphs   1718 meV per atom
Uncorrected formation energy   1.9856 eV/atom

Lattice parameters (Å, degrees): 5.4170 5.4170 4.3997 90.00 90.00 90.00
Last column: nearest neighbours and their distance in Å.
Atoms (fractional coordinates):
P 0.5000 0.0000 0.0000  2 K 2.71
P 0.0000 0.5000 0.0000  2 K 2.71
Be 0.5000 0.5000 0.5000  8 P 3.49, 4 O 3.83
O 0.0000 0.0000 0.5000  2 K 2.20
K 0.0000 0.0000 0.0000  2 O 2.20

(23)
# Cs2BaPtS

A relaxed structure of Cs2BaPtS (PBE-GGA, Alexandria via LeMat-Bulk).

Mass density   3.58 g/cm³
Final energy   -12.4 eV per cell
Uncorrected formation energy   0.2789 eV/atom

Lattice parameters (Å, degrees): 7.3468 5.4237 7.3468 90.00 90.00 90.00
Last column: nearest neighbours and their distance in Å.
Atoms (fractional coordinates):
Pt 0.0000 0.5000 0.0000  2 Ba 2.71
S 0.5000 0.5000 0.5000  8 Cs 4.57
Cs 0.0000 0.0000 0.5000  2 Ba 3.67
Cs 0.5000 0.0000 0.0000  2 Ba 3.67
Ba 0.0000 0.0000 0.0000  2 Pt 2.71

(24)
# CaH2Ir2

A relaxed structure of CaH2Ir2 (PBE-GGA, Alexandria via LeMat-Bulk).

Mass density   10.12 g/cm³
Final energy   -26.5 eV per cell

Lattice parameters (Å, degrees): 3.7438 3.7438 5.6519 70.66 70.66 90.00
Last column: nearest neighbours and their distance in Å.
Atoms (fractional coordinates):
Ca 0.0000 0.0000 0.0000  2 Ir 2.82, 8 H 3.12
H 0.7500 0.2500 0.5000  4 Ir 1.90
H 0.2500 0.7500 0.5000  4 Ir 1.90
Ir 0.7174 0.7174 0.5651  4 H 1.90
Ir 0.2826 0.2826 0.4349  4 H 1.90